# Ce3CrS6

A relaxed Ce3CrS6 crystal (PBE-GGA, Alexandria via LeMat-Bulk).

a b c (Å): 7.887 7.887 7.887
angles (deg): 98.47 98.47 98.47
Fractional positions:
Ce  0.119  0.615  0.787
Ce  0.213  0.881  0.385
Ce  0.385  0.213  0.881
Ce  0.615  0.787  0.119
Ce  0.787  0.119  0.615
Ce  0.881  0.385  0.213
Cr  0.000  0.000  0.000
Cr  0.500  0.500  0.500
S  0.068  0.931  0.693
S  0.069  0.307  0.932
S  0.194  0.538  0.438
S  0.307  0.932  0.069
S  0.438  0.194  0.538
S  0.462  0.562  0.806
S  0.538  0.438  0.194
S  0.562  0.806  0.462
S  0.693  0.068  0.931
S  0.806  0.462  0.562
S  0.931  0.693  0.068
S  0.932  0.069  0.307

Properties
magnetic moment = 0.602 μB/atom
ΔE_f (raw) = -1.63 eV per atom

# CeCr4S8

A relaxed CeCr4S8 crystal (PBE-GGA, Alexandria via LeMat-Bulk).

a b c (Å): 7.457 7.457 7.457
angles (deg): 56.00 56.00 56.00
Fractional positions:
Ce  0.000  0.000  0.000
Cr  0.000  0.000  0.500
Cr  0.000  0.500  0.000
Cr  0.500  0.000  0.000
Cr  0.500  0.500  0.500
S  0.235  0.235  0.235
S  0.241  0.734  0.734
S  0.266  0.266  0.759
S  0.266  0.759  0.266
S  0.734  0.241  0.734
S  0.734  0.734  0.241
S  0.759  0.266  0.266
S  0.765  0.765  0.765

Properties
magnetic moment = 0.926 μB/atom
ΔE_f (raw) = -0.93 eV per atom

# Ce4CrS7

A relaxed Ce4CrS7 crystal (PBE-GGA, Alexandria via LeMat-Bulk).

a b c (Å): 9.591 6.859 9.799
angles (deg): 90.00 118.27 90.00
Fractional positions:
Ce  0.119  0.000  0.350
Ce  0.247  0.103  0.860
Ce  0.257  0.587  0.119
Ce  0.355  0.612  0.727
Ce  0.645  0.112  0.273
Ce  0.743  0.087  0.881
Ce  0.753  0.603  0.140
Ce  0.881  0.500  0.650
Cr  0.498  0.813  0.476
Cr  0.502  0.313  0.524
S  0.037  0.292  0.933
S  0.103  0.314  0.592
S  0.132  0.740  0.817
S  0.286  0.570  0.420
S  0.345  0.988  0.222
S  0.405  0.015  0.630
S  0.458  0.392  0.009
S  0.542  0.892  0.991
S  0.595  0.515  0.370
S  0.655  0.488  0.778
S  0.714  0.070  0.580
S  0.868  0.240  0.183
S  0.897  0.814  0.408
S  0.963  0.792  0.067

Properties
magnetic moment = 0.670 μB/atom
ΔE_f (raw) = -1.67 eV per atom

# CeCrS4

A relaxed CeCrS4 crystal (PBE-GGA, Alexandria via LeMat-Bulk).

a b c (Å): 5.126 6.368 7.094
angles (deg): 90.00 90.00 90.00
Fractional positions:
Ce  0.000  0.000  0.000
Ce  0.500  0.000  0.500
Cr  0.000  0.500  0.500
Cr  0.500  0.500  0.000
S  0.000  0.174  0.359
S  0.000  0.826  0.641
S  0.250  0.334  0.750
S  0.250  0.666  0.250
S  0.500  0.174  0.141
S  0.500  0.826  0.859
S  0.750  0.334  0.750
S  0.750  0.666  0.250

Properties
magnetic moment = 0.539 μB/atom
ΔE_f (raw) = -1.02 eV per atom

# Ce3Cr5S12

A relaxed Ce3Cr5S12 crystal (PBE-GGA, Alexandria via LeMat-Bulk).

a b c (Å): 12.958 12.958 12.958
angles (deg): 109.47 109.47 109.47
Fractional positions:
Ce  0.125  0.250  0.375
Ce  0.125  0.375  0.750
Ce  0.250  0.375  0.125
Ce  0.250  0.875  0.625
Ce  0.375  0.125  0.250
Ce  0.375  0.750  0.125
Ce  0.625  0.250  0.875
Ce  0.625  0.875  0.750
Ce  0.750  0.125  0.375
Ce  0.750  0.625  0.875
Ce  0.875  0.625  0.250
Ce  0.875  0.750  0.625
Cr  0.000  0.000  0.000
Cr  0.000  0.000  0.500
Cr  0.000  0.500  0.000
Cr  0.000  0.500  0.500
Cr  0.125  0.750  0.875
Cr  0.125  0.875  0.250
Cr  0.250  0.125  0.875
Cr  0.250  0.625  0.375
Cr  0.375  0.250  0.625
Cr  0.375  0.625  0.750
Cr  0.500  0.000  0.000
Cr  0.500  0.000  0.500
Cr  0.500  0.500  0.000
Cr  0.500  0.500  0.500
Cr  0.625  0.375  0.250
Cr  0.625  0.750  0.375
Cr  0.750  0.375  0.625
Cr  0.750  0.875  0.125
Cr  0.875  0.125  0.750
Cr  0.875  0.250  0.125
S  0.029  0.206  0.120
S  0.029  0.323  0.909
S  0.087  0.706  0.677
S  0.087  0.880  0.409
S  0.091  0.620  0.413
S  0.091  0.971  0.677
S  0.120  0.029  0.206
S  0.120  0.591  0.913
S  0.177  0.206  0.587
S  0.177  0.471  0.591
S  0.206  0.120  0.029
S  0.206  0.587  0.177
S  0.294  0.323  0.913
S  0.294  0.471  0.380
S  0.323  0.909  0.029
S  0.323  0.913  0.294
S  0.380  0.294  0.471
S  0.380  0.587  0.909
S  0.409  0.087  0.880
S  0.409  0.823  0.529
S  0.413  0.091  0.620
S  0.413  0.823  0.794
S  0.471  0.380  0.294
S  0.471  0.591  0.177
S  0.529  0.409  0.823
S  0.529  0.620  0.706
S  0.587  0.177  0.206
S  0.587  0.909  0.380
S  0.591  0.177  0.471
S  0.591  0.913  0.120
S  0.620  0.413  0.091
S  0.620  0.706  0.529
S  0.677  0.087  0.706
S  0.677  0.091  0.971
S  0.706  0.529  0.620
S  0.706  0.677  0.087
S  0.794  0.413  0.823
S  0.794  0.880  0.971
S  0.823  0.529  0.409
S  0.823  0.794  0.413
S  0.880  0.409  0.087
S  0.880  0.971  0.794
S  0.909  0.029  0.323
S  0.909  0.380  0.587
S  0.913  0.120  0.591
S  0.913  0.294  0.323
S  0.971  0.677  0.091
S  0.971  0.794  0.880

Properties
magnetic moment = 0.900 μB/atom
ΔE_f (raw) = -1.11 eV per atom

# CeScCr2S6

A relaxed CeScCr2S6 crystal (PBE-GGA, Alexandria via LeMat-Bulk).

a b c (Å): 6.734 6.734 6.734
angles (deg): 57.27 57.27 57.27
Fractional positions:
Ce  0.000  0.000  0.000
Sc  0.512  0.512  0.512
Cr  0.204  0.204  0.204
Cr  0.708  0.708  0.708
S  0.085  0.443  0.824
S  0.356  0.937  0.551
S  0.443  0.824  0.085
S  0.551  0.356  0.937
S  0.824  0.085  0.443
S  0.937  0.551  0.356

Properties
magnetic moment = 0.701 μB/atom
ΔE_f (raw) = -1.24 eV per atom